# 1
Material: Y2CoW
Method: DFT, PBE
State: optimized geometry

It has space group P4/mmm (No. 123), with a = 4.9459 Å, b = 4.9459 Å, c = 3.3880 Å, α = 90.00°, β = 90.00° and γ = 90.00°. The inequivalent atoms are Y at (0.0000, 0.5000, 0.0000), Co at (0.0000, 0.0000, 0.5000) and W at (0.5000, 0.5000, 0.5000).

As for the crystal system: tetragonal. As for the volume: 20.719 Å³/atom. As for the magnetic moment: 1.85 μB per cell. As for the calculated formation energy: 47.2 kJ per mole of atoms.

# 2
Material: YCo2W
Method: DFT, PBE
State: optimized geometry

It has space group I-4m2 (No. 119), with a = 3.7355 Å, b = 3.7355 Å, c = 8.9665 Å, α = 90.00°, β = 90.00° and γ = 90.00°. The inequivalent atoms are Y at (0.0000, 0.0000, 0.0000), Co at (0.0000, 0.0000, 0.5000), Co at (0.0000, 0.5000, 0.7500) and W at (0.0000, 0.5000, 0.2500).

As for the crystal system: tetragonal. As for the volume: 15.640 Å³/atom. As for the magnetic moment: 0.00 μB per cell. As for the calculated formation energy: 44.8 kJ per mole of atoms.

# 3
Material: Y2CoW
Method: DFT, PBE
State: optimized geometry

It has space group R3m (No. 160, hexagonal axes), with a = 3.9654 Å, b = 3.9654 Å, c = 21.8016 Å, α = 90.00°, β = 90.00° and γ = 120.00°. The inequivalent atoms are Y at (0.0000, 0.0000, 0.0000), Y at (0.0000, 0.0000, 0.1914), Co at (0.0000, 0.0000, 0.7736) and W at (0.0000, 0.0000, 0.4233).

As for the crystal system: trigonal. As for the volume: 24.741 Å³/atom. As for the magnetic moment: 0.00 μB per cell. As for the calculated formation energy: 13.9 kJ per mole of atoms.

# 4
Material: Y2CoW
Method: DFT, PBE
State: optimized geometry

It has space group P4mm (No. 99), with a = 3.1551 Å, b = 3.1551 Å, c = 8.5803 Å, α = 90.00°, β = 90.00° and γ = 90.00°. The inequivalent atoms are Y at (0.0000, 0.0000, 0.0000), Y at (0.5000, 0.5000, 0.3732), Co at (0.0000, 0.0000, 0.6100) and W at (0.5000, 0.5000, 0.7463).

As for the crystal system: tetragonal. As for the volume: 21.354 Å³/atom. As for the magnetic moment: 0.00 μB per cell. As for the calculated formation energy: 18.0 kJ per mole of atoms.